PuBeSe | PBE | optimized geometry

a = 7.802 Å, b = 7.802 Å, c = 4.117 Å
α = 90.00°, β = 90.00°, γ = 151.16°
Sites, in units of the cell vectors:
1 Pu 0.124 0.876 0.750
2 Pu 0.876 0.124 0.250
3 Be 0.473 0.527 0.750
4 Be 0.527 0.473 0.250
5 Se 0.327 0.673 0.750
6 Se 0.673 0.327 0.250

Output
V   20.142 Å³ per atom
SG   Cmcm
Formation energy from raw total energies   -0.7094 eV/atom